Entry from Alexandria: Tm4Tl2Ga after structural relaxation (GGA-PBE).

Cell: 3.5722 8.8084 12.7098 Å, 90.00 90.00 90.00°
Atoms (fractional coordinates):
1 Ga 0.0000 0.5000 0.0000
2 Tm 0.5000 0.7403 0.0628
3 Ga 0.0000 0.0000 0.5000
4 Tl 0.5000 0.9278 0.8393
5 Tm 0.5000 0.7597 0.5628
6 Tm 0.0000 0.1397 0.6984
7 Tm 0.5000 0.2597 0.9372
8 Tl 0.5000 0.4278 0.6607
9 Tl 0.5000 0.5722 0.3393
10 Tm 0.5000 0.2403 0.4372
11 Tm 0.0000 0.6397 0.8016
12 Tm 0.0000 0.3603 0.1984
13 Tm 0.0000 0.8603 0.3016
14 Tl 0.5000 0.0722 0.1607

Values from the calculation:
The final energy comes out at -54.1 eV for the cell shown. For the magnetic moment, the calculation gives 0.00 μB/cell. The calculation puts the formation enthalpy at 0 K at -0.20 eV per atom.